1.
DFT (PBE-GGA) results for a relaxed structure of TlBiB2.

## Properties
- total energy (eV/atom) = -3.735
- total magnetization (μB per formula unit) = 0.0
- theoretical density (g/cm³) = 8.6
- energy above the most stable polymorph in this dataset (eV per atom) = 0.000
- formation energy (eV/f.u.) = 4.66

a = 5.562 Å, b = 5.562 Å, c = 10.838 Å
α = 90.00°, β = 90.00°, γ = 90.00°
Fractional coordinates of all 16 atoms:
Tl  0.000  0.000  0.000
Tl  0.000  0.500  0.250
Tl  0.500  0.000  0.750
Tl  0.500  0.500  0.500
Bi  0.000  0.000  0.500
Bi  0.000  0.500  0.750
Bi  0.500  0.000  0.250
Bi  0.500  0.500  0.000
B  0.250  0.250  0.125
B  0.250  0.250  0.625
B  0.250  0.750  0.375
B  0.250  0.750  0.875
B  0.750  0.250  0.375
B  0.750  0.250  0.875
B  0.750  0.750  0.125
B  0.750  0.750  0.625



2.
DFT (PBE-GGA) results for a relaxed structure of TlBi2BW.

## Properties
- total energy (eV/atom) = -5.131
- total magnetization (μB per formula unit) = 0.0
- theoretical density (g/cm³) = 10.3
- formation energy (eV/f.u.) = 4.10

a = 5.498 Å, b = 5.498 Å, c = 4.346 Å
α = 90.00°, β = 90.00°, γ = 90.00°
Fractional coordinates of all 5 atoms:
Tl  0.000  0.000  0.000
Bi  0.000  0.500  0.500
Bi  0.500  0.000  0.500
B  0.500  0.500  0.000
W  0.500  0.500  0.500



3.
DFT (PBE-GGA) results for a relaxed structure of ZrTl2BiB.

## Properties
- total energy (eV/atom) = -3.910
- total magnetization (μB per formula unit) = 0.4
- theoretical density (g/cm³) = 9.8
- formation energy (eV/f.u.) = 4.29

a = 4.794 Å, b = 4.794 Å, c = 5.327 Å
α = 90.00°, β = 90.00°, γ = 90.00°
Fractional coordinates of all 5 atoms:
Zr  0.000  0.000  0.000
Tl  0.000  0.500  0.500
Tl  0.500  0.000  0.500
Bi  0.500  0.500  0.000
B  0.500  0.500  0.500



4.
DFT (PBE-GGA) results for a relaxed structure of Tm6Bi3B.

## Properties
- total energy (eV/atom) = -4.996
- total magnetization (μB per formula unit) = 0.0
- theoretical density (g/cm³) = 9.9
- formation energy (eV/f.u.) = -4.81

a = 6.425 Å, b = 8.181 Å, c = 12.297 Å
α = 90.00°, β = 121.01°, γ = 90.00°
Fractional coordinates of all 20 atoms:
Tm  0.068  0.216  0.444
Tm  0.068  0.284  0.944
Tm  0.285  0.650  0.447
Tm  0.285  0.850  0.947
Tm  0.350  0.040  0.222
Tm  0.350  0.460  0.722
Tm  0.650  0.540  0.278
Tm  0.650  0.960  0.778
Tm  0.715  0.150  0.053
Tm  0.715  0.350  0.553
Tm  0.932  0.716  0.056
Tm  0.932  0.784  0.556
Bi  0.158  0.110  0.739
Bi  0.158  0.390  0.239
Bi  0.500  0.000  0.500
Bi  0.500  0.500  0.000
Bi  0.842  0.610  0.761
Bi  0.842  0.890  0.261
B  0.000  0.000  0.000
B  0.000  0.500  0.500



5.
DFT (PBE-GGA) results for a relaxed structure of Tm12Bi6B.

## Properties
- total energy (eV/atom) = -4.806
- total magnetization (μB per formula unit) = 0.0
- theoretical density (g/cm³) = 9.5
- formation energy (eV/f.u.) = -7.70

a = 8.451 Å, b = 8.451 Å, c = 8.451 Å
α = 99.52°, β = 99.52°, γ = 99.52°
Fractional coordinates of all 19 atoms:
Tm  0.007  0.301  0.065
Tm  0.065  0.007  0.301
Tm  0.200  0.417  0.536
Tm  0.301  0.065  0.007
Tm  0.417  0.536  0.200
Tm  0.464  0.800  0.583
Tm  0.536  0.200  0.417
Tm  0.583  0.464  0.800
Tm  0.699  0.935  0.993
Tm  0.800  0.583  0.464
Tm  0.935  0.993  0.699
Tm  0.993  0.699  0.935
Bi  0.115  0.654  0.307
Bi  0.307  0.115  0.654
Bi  0.346  0.693  0.885
Bi  0.654  0.307  0.115
Bi  0.693  0.885  0.346
Bi  0.885  0.346  0.693
B  0.000  0.000  0.000



6.
DFT (PBE-GGA) results for a relaxed structure of Tm5Bi2B.

## Properties
- total energy (eV/atom) = -4.691
- total magnetization (μB per formula unit) = 0.0
- theoretical density (g/cm³) = 7.9
- formation energy (eV/f.u.) = -0.73

a = 8.313 Å, b = 8.313 Å, c = 13.193 Å
α = 90.00°, β = 90.00°, γ = 143.97°
Fractional coordinates of all 16 atoms:
Tm  0.081  0.919  0.622
Tm  0.081  0.919  0.878
Tm  0.285  0.715  0.580
Tm  0.285  0.715  0.920
Tm  0.290  0.710  0.250
Tm  0.710  0.290  0.750
Tm  0.715  0.285  0.080
Tm  0.715  0.285  0.420
Tm  0.919  0.081  0.122
Tm  0.919  0.081  0.378
Bi  0.118  0.882  0.109
Bi  0.118  0.882  0.391
Bi  0.882  0.118  0.609
Bi  0.882  0.118  0.891
B  0.190  0.810  0.750
B  0.810  0.190  0.250



7.
DFT (PBE-GGA) results for a relaxed structure of Tm3Bi2B.

## Properties
- total energy (eV/atom) = -4.921
- total magnetization (μB per formula unit) = 0.0
- theoretical density (g/cm³) = 9.5
- formation energy (eV/f.u.) = -1.67

a = 5.942 Å, b = 15.731 Å, c = 3.486 Å
α = 90.00°, β = 90.00°, γ = 90.00°
Fractional coordinates of all 12 atoms:
Tm  0.000  0.000  0.000
Tm  0.000  0.386  0.500
Tm  0.000  0.614  0.500
Tm  0.500  0.114  0.500
Tm  0.500  0.500  0.000
Tm  0.500  0.886  0.500
Bi  0.000  0.173  0.500
Bi  0.000  0.827  0.500
Bi  0.500  0.327  0.500
Bi  0.500  0.673  0.500
B  0.000  0.500  0.000
B  0.500  0.000  0.000



8.
DFT (PBE-GGA) results for a relaxed structure of V3BiB.

## Properties
- total energy (eV/atom) = -7.454
- total magnetization (μB per formula unit) = 0.0
- theoretical density (g/cm³) = 8.5
- energy above the most stable polymorph in this dataset (eV per atom) = 0.000
- formation energy (eV/f.u.) = 0.64

a = 4.174 Å, b = 4.174 Å, c = 4.174 Å
α = 90.00°, β = 90.00°, γ = 90.00°
Fractional coordinates of all 5 atoms:
V  0.000  0.000  0.500
V  0.000  0.500  0.000
V  0.500  0.000  0.000
Bi  0.500  0.500  0.500
B  0.000  0.000  0.000



9.
DFT (PBE-GGA) results for a relaxed structure of V2Bi2B.

## Properties
- total energy (eV/atom) = -5.911
- total magnetization (μB per formula unit) = 0.0
- theoretical density (g/cm³) = 9.8
- energy above the most stable polymorph in this dataset (eV per atom) = 0.000
- formation energy (eV/f.u.) = 3.12

a = 6.195 Å, b = 6.195 Å, c = 4.673 Å
α = 90.00°, β = 90.00°, γ = 90.00°
Fractional coordinates of all 10 atoms:
V  0.155  0.345  0.000
V  0.345  0.845  0.000
V  0.655  0.155  0.000
V  0.845  0.655  0.000
Bi  0.177  0.677  0.500
Bi  0.323  0.177  0.500
Bi  0.677  0.823  0.500
Bi  0.823  0.323  0.500
B  0.000  0.000  0.000
B  0.500  0.500  0.000



10.
DFT (PBE-GGA) results for a relaxed structure of V2BiB.

## Properties
- total energy (eV/atom) = -6.281
- total magnetization (μB per formula unit) = 0.0
- theoretical density (g/cm³) = 9.0
- energy above the most stable polymorph in this dataset (eV per atom) = 0.141
- formation energy (eV/f.u.) = 3.67

a = 6.184 Å, b = 6.184 Å, c = 6.184 Å
α = 90.00°, β = 90.00°, γ = 90.00°
Fractional coordinates of all 16 atoms:
V  0.250  0.250  0.250
V  0.250  0.250  0.750
V  0.250  0.750  0.250
V  0.250  0.750  0.750
V  0.750  0.250  0.250
V  0.750  0.250  0.750
V  0.750  0.750  0.250
V  0.750  0.750  0.750
Bi  0.000  0.000  0.000
Bi  0.000  0.500  0.500
Bi  0.500  0.000  0.500
Bi  0.500  0.500  0.000
B  0.000  0.000  0.500
B  0.000  0.500  0.000
B  0.500  0.000  0.000
B  0.500  0.500  0.500



11.
DFT (PBE-GGA) results for a relaxed structure of V2Bi2B.

## Properties
- total energy (eV/atom) = -5.111
- total magnetization (μB per formula unit) = 0.0
- theoretical density (g/cm³) = 7.7
- energy above the most stable polymorph in this dataset (eV per atom) = 0.799
- formation energy (eV/f.u.) = 7.12

a = 4.793 Å, b = 4.793 Å, c = 9.907 Å
α = 90.00°, β = 90.00°, γ = 90.00°
Fractional coordinates of all 10 atoms:
V  0.000  0.000  0.093
V  0.000  0.000  0.907
V  0.500  0.500  0.407
V  0.500  0.500  0.593
Bi  0.000  0.500  0.250
Bi  0.000  0.500  0.750
Bi  0.500  0.000  0.250
Bi  0.500  0.000  0.750
B  0.000  0.000  0.500
B  0.500  0.500  0.000



12.
DFT (PBE-GGA) results for a relaxed structure of VBiB3.

## Properties
- total energy (eV/atom) = -5.443
- total magnetization (μB per formula unit) = 0.0
- theoretical density (g/cm³) = 6.9
- energy above the most stable polymorph in this dataset (eV per atom) = 0.000
- formation energy (eV/f.u.) = 5.82

a = 4.131 Å, b = 4.131 Å, c = 4.131 Å
α = 90.00°, β = 90.00°, γ = 90.00°
Fractional coordinates of all 5 atoms:
V  0.000  0.000  0.000
Bi  0.500  0.500  0.500
B  0.000  0.000  0.500
B  0.000  0.500  0.000
B  0.500  0.000  0.000